First-principles (PBE) data for a relaxed structure of LaAg2As2, as listed in Alexandria via LeMat-Bulk.

## Properties
Energy relative to the elements ... -569 meV per atom
M_tot ... 0.0 μB/cell
Density ... 7.644 g/cm³

Unit cell a=4.182 b=4.182 c=6.930 alpha=72.44 beta=72.44 gamma=90.00
Fractional positions:
As 0.392 0.392 0.215
As 0.608 0.608 0.785
Ag 0.750 0.250 0.500
Ag 0.250 0.750 0.500
La 0.000 0.000 0.000

First-principles (PBE) data for a relaxed structure of La2Ag2As, as listed in Alexandria via LeMat-Bulk.

## Properties
Energy relative to the elements ... -384 meV per atom
M_tot ... 0.0 μB/cell
Density ... 6.440 g/cm³

Unit cell a=8.135 b=8.135 c=4.430 alpha=90.00 beta=90.00 gamma=90.00
Fractional positions:
As 0.000 0.000 0.000
As 0.500 0.500 0.000
Ag 0.123 0.623 0.500
Ag 0.623 0.877 0.500
Ag 0.877 0.377 0.500
Ag 0.377 0.123 0.500
La 0.325 0.825 0.000
La 0.825 0.675 0.000
La 0.675 0.175 0.000
La 0.175 0.325 0.000